# Na4Zr3VTe8

Na4Zr3VTe8 after structural relaxation (PBE, Alexandria).

## Properties
The calculation puts the total energy at -4.90 eV per atom. The calculation puts the formation energy without anion corrections at -0.83 eV/atom.

Cell and atoms, written as CIF:
```
data_Na4Zr3VTe8
_chemical_formula_sum 'Na12 Zr9 V3 Te24'
_cell_length_a 8.1960
_cell_length_b 8.1960
_cell_length_c 23.3039
_cell_angle_alpha 90.00
_cell_angle_beta 90.00
_cell_angle_gamma 120.00
_space_group_name_H-M_alt 'R -3 m'
_space_group_IT_number 166
_space_group_name_Hall '-R 3 2"'
loop_
_atom_site_label
_atom_site_fract_x
_atom_site_fract_y
_atom_site_fract_z
_atom_site_occupancy
Na1 0.0000 0.0000 0.0000 1
Na2 0.0000 0.5000 0.0000 1
Zr1 0.0000 0.5000 0.5000 1
V1 0.0000 0.0000 0.5000 1
Te1 0.0000 0.0000 0.2419 1
Te2 0.0095 0.5048 0.2399 1
```



# Na3TeW

Na3TeW after structural relaxation (PBE, Alexandria).

## Properties
For the energy relative to the lowest polymorph listed for this composition, the calculation gives 0.000 eV/atom. The calculation puts the total energy at -3.11 eV per atom. The calculation puts the formation energy without anion corrections at 0.90 eV/atom.

Cell and atoms, written as CIF:
```
data_Na3TeW
_chemical_formula_sum 'Na3 Te1 W1'
_cell_length_a 5.8350
_cell_length_b 5.8350
_cell_length_c 5.8350
_cell_angle_alpha 90.00
_cell_angle_beta 90.00
_cell_angle_gamma 90.00
_space_group_name_H-M_alt 'P m -3 m'
_space_group_IT_number 221
_space_group_name_Hall '-P 4 2 3'
loop_
_atom_site_label
_atom_site_fract_x
_atom_site_fract_y
_atom_site_fract_z
_atom_site_occupancy
Na1 0.0000 0.0000 0.5000 1
Te1 0.0000 0.0000 0.0000 1
W1 0.5000 0.5000 0.5000 1
```



# Na2TeW

Na2TeW after structural relaxation (PBE, Alexandria).

## Properties
The calculation puts the total energy at -3.75 eV per atom. The calculation puts the formation energy without anion corrections at 0.93 eV/atom.

Cell and atoms, written as CIF:
```
data_Na2TeW
_chemical_formula_sum 'Na8 Te4 W4'
_cell_length_a 8.9361
_cell_length_b 8.9361
_cell_length_c 5.3929
_cell_angle_alpha 90.00
_cell_angle_beta 90.00
_cell_angle_gamma 90.00
_space_group_name_H-M_alt 'I -4 2 d'
_space_group_IT_number 122
_space_group_name_Hall 'I -4 2bw'
loop_
_atom_site_label
_atom_site_fract_x
_atom_site_fract_y
_atom_site_fract_z
_atom_site_occupancy
Na1 0.2347 0.2500 0.1250 1
Te1 0.0000 0.0000 0.0000 1
W1 0.0000 0.0000 0.5000 1
```



# Na3TeW

Na3TeW after structural relaxation (PBE, Alexandria).

## Properties
For the energy relative to the lowest polymorph listed for this composition, the calculation gives 0.308 eV/atom. The calculation puts the total energy at -2.81 eV per atom. The calculation puts the formation energy without anion corrections at 1.20 eV/atom.

Cell and atoms, written as CIF:
```
data_Na3TeW
_chemical_formula_sum 'Na3 Te1 W1'
_cell_length_a 5.7652
_cell_length_b 5.7652
_cell_length_c 5.7652
_cell_angle_alpha 90.00
_cell_angle_beta 90.00
_cell_angle_gamma 90.00
_space_group_name_H-M_alt 'P m -3 m'
_space_group_IT_number 221
_space_group_name_Hall '-P 4 2 3'
loop_
_atom_site_label
_atom_site_fract_x
_atom_site_fract_y
_atom_site_fract_z
_atom_site_occupancy
Na1 0.0000 0.0000 0.5000 1
Te1 0.5000 0.5000 0.5000 1
W1 0.0000 0.0000 0.0000 1
```



# NaZnTeW2

NaZnTeW2 after structural relaxation (PBE, Alexandria).

## Properties
The calculation puts the total energy at -4.37 eV per atom. The calculation puts the formation energy without anion corrections at 1.96 eV/atom.

Cell and atoms, written as CIF:
```
data_NaZnTeW2
_chemical_formula_sum 'Na1 Zn1 Te1 W2'
_cell_length_a 4.9874
_cell_length_b 4.9874
_cell_length_c 5.2881
_cell_angle_alpha 90.00
_cell_angle_beta 90.00
_cell_angle_gamma 90.00
_space_group_name_H-M_alt 'P 4/m m m'
_space_group_IT_number 123
_space_group_name_Hall '-P 4 2'
loop_
_atom_site_label
_atom_site_fract_x
_atom_site_fract_y
_atom_site_fract_z
_atom_site_occupancy
Na1 0.0000 0.0000 0.0000 1
Zn1 0.5000 0.5000 0.0000 1
Te1 0.5000 0.5000 0.5000 1
W1 0.0000 0.5000 0.5000 1
```



# NaY2Te2

NaY2Te2 after structural relaxation (PBE, Alexandria).

## Properties
For the energy relative to the lowest polymorph listed for this composition, the calculation gives 0.000 eV/atom. The calculation puts the total energy at -5.09 eV per atom. The calculation puts the formation energy without anion corrections at -0.99 eV/atom.

Cell and atoms, written as CIF:
```
data_NaY2Te2
_chemical_formula_sum 'Na2 Y4 Te4'
_cell_length_a 8.3902
_cell_length_b 8.3902
_cell_length_c 4.0116
_cell_angle_alpha 90.00
_cell_angle_beta 90.00
_cell_angle_gamma 90.00
_space_group_name_H-M_alt 'P 4/m b m'
_space_group_IT_number 127
_space_group_name_Hall '-P 4 2ab'
loop_
_atom_site_label
_atom_site_fract_x
_atom_site_fract_y
_atom_site_fract_z
_atom_site_occupancy
Na1 0.0000 0.0000 0.0000 1
Y1 0.1481 0.3519 0.5000 1
Te1 0.1489 0.6489 0.0000 1
```



# NaY2Te2

NaY2Te2 after structural relaxation (PBE, Alexandria).

## Properties
For the energy relative to the lowest polymorph listed for this composition, the calculation gives 0.190 eV/atom. The calculation puts the total energy at -4.90 eV per atom. The calculation puts the formation energy without anion corrections at -0.80 eV/atom.

Cell and atoms, written as CIF:
```
data_NaY2Te2
_chemical_formula_sum 'Na2 Y4 Te4'
_cell_length_a 5.1373
_cell_length_b 5.1373
_cell_length_c 13.9302
_cell_angle_alpha 90.00
_cell_angle_beta 90.00
_cell_angle_gamma 90.00
_space_group_name_H-M_alt 'I 4/m m m'
_space_group_IT_number 139
_space_group_name_Hall '-I 4 2'
loop_
_atom_site_label
_atom_site_fract_x
_atom_site_fract_y
_atom_site_fract_z
_atom_site_occupancy
Na1 0.0000 0.0000 0.0000 1
Y1 0.0000 0.5000 0.2500 1
Te1 0.0000 0.0000 0.3653 1
```



# NaY2Te2

NaY2Te2 after structural relaxation (PBE, Alexandria).

## Properties
For the energy relative to the lowest polymorph listed for this composition, the calculation gives 0.129 eV/atom. The calculation puts the total energy at -4.96 eV per atom. The calculation puts the formation energy without anion corrections at -0.86 eV/atom.

Cell and atoms, written as CIF:
```
data_NaY2Te2
_chemical_formula_sum 'Na2 Y4 Te4'
_cell_length_a 8.5992
_cell_length_b 8.5992
_cell_length_c 3.9069
_cell_angle_alpha 90.00
_cell_angle_beta 90.00
_cell_angle_gamma 90.00
_space_group_name_H-M_alt 'P 4/m b m'
_space_group_IT_number 127
_space_group_name_Hall '-P 4 2ab'
loop_
_atom_site_label
_atom_site_fract_x
_atom_site_fract_y
_atom_site_fract_z
_atom_site_occupancy
Na1 0.0000 0.0000 0.0000 1
Y1 0.1429 0.3571 0.0000 1
Te1 0.1520 0.6520 0.5000 1
```